1.
Density functional theory data (PBE-GGA) for an optimized crystal structure of Pu2TcGe6Ir.

Cell: 5.7177 5.7177 45.7255 Å, 90.00 90.00 120.00°
Space group R-3m (No. 166, hexagonal axes)
Asymmetric unit:
Pu: 0.0000 0.0000 0.0607
Pu: 0.0000 0.0000 0.4112
Tc: 0.0000 0.0000 0.0000
Tc: 0.0000 0.0000 0.5000
Ge: 0.0162 0.5081 0.7928
Ge: 0.0224 0.5112 0.9727
Ir: 0.0000 0.0000 0.1670

Values from the calculation:
E = -73.54 eV/f.u.
Formation energy = 0.205 eV/atom
M_tot = 65.8 μB per cell
N(E_F) = 91.5 states/eV per cell

2.
Density functional theory data (PBE-GGA) for an optimized crystal structure of Tb12Y5Tm2.

Cell: 17.5804 11.6018 6.1456 Å, 90.00 102.98 90.00°
Space group C2/m (No. 12)
Asymmetric unit:
Tb: 0.0549 0.0000 0.2763
Tb: 0.1028 0.2498 0.6181
Tb: 0.1179 0.5000 0.0008
Tb: 0.1973 0.2470 0.1998
Y: 0.0000 0.5000 0.5000
Y: 0.1763 0.0000 0.8638
Y: 0.2161 0.5000 0.5562
Tm: 0.0000 0.2687 0.0000

Values from the calculation:
E = -94.80 eV/f.u.
Formation energy = 0.107 eV/atom
M_tot = 0.0 μB per cell
Relative energy among the computed polymorphs = 0.000 eV/atom
N(E_F) = 59.3 states/eV per cell

3.
Density functional theory data (PBE-GGA) for an optimized crystal structure of InGaSbTe2.

Cell: 5.5194 5.5194 5.3008 Å, 90.00 90.00 90.00°
Space group P4/mmm (No. 123)
Asymmetric unit:
In: 0.0000 0.0000 0.0000
Ga: 0.5000 0.5000 0.5000
Sb: 0.5000 0.5000 0.0000
Te: 0.0000 0.5000 0.5000

Values from the calculation:
E = -14.88 eV/f.u.
M_tot = 0.0 μB per cell
Energy relative to the elements, uncorrected = 0.26 eV per atom
Relative energy among the computed polymorphs = 0.000 eV/atom
N(E_F) = 4.0 states/eV per cell

4.
Density functional theory data (PBE-GGA) for an optimized crystal structure of TaNbHRu2.

Cell: 4.0701 4.0701 3.9823 Å, 90.00 90.00 90.00°
Space group P4/mmm (No. 123)
Asymmetric unit:
Ta: 0.0000 0.0000 0.0000
Nb: 0.5000 0.5000 0.0000
H: 0.0000 0.0000 0.5000
Ru: 0.0000 0.5000 0.5000

Values from the calculation:
E = -44.45 eV/f.u.
M_tot = 0.0 μB per cell
Relative energy among the computed polymorphs = 0.017 eV/atom
N(E_F) = 4.3 states/eV per cell

5.
Density functional theory data (PBE-GGA) for an optimized crystal structure of CsGaAs3.

Cell: 5.8235 5.8235 5.8235 Å, 90.00 90.00 90.00°
Space group Pm-3m (No. 221)
Asymmetric unit:
Cs: 0.0000 0.0000 0.0000
Ga: 0.5000 0.5000 0.5000
As: 0.0000 0.0000 0.5000

Values from the calculation:
E = -9.80 eV/f.u.
Formation energy = 1.605 eV/atom
M_tot = 0.7 μB per cell
Relative energy among the computed polymorphs = 1.306 eV/atom
N(E_F) = 9.5 states/eV per cell

6.
Density functional theory data (PBE-GGA) for an optimized crystal structure of AcPb2SO8.

Cell: 5.2160 5.2160 6.8043 Å, 90.00 90.00 120.00°
Space group P-3m1 (No. 164)
Asymmetric unit:
Ac: 0.0000 0.0000 0.0000
Pb: 0.3333 0.6667 0.3664
S: 0.0000 0.0000 0.5000
O: 0.1510 0.3021 0.6448
O: 0.3333 0.6667 0.0617

Values from the calculation:
E = -69.84 eV/f.u.
M_tot = 0.0 μB per cell
Energy relative to the elements, uncorrected = -1.21 eV per atom
N(E_F) = 3.5 states/eV per cell